Material: Dy3Al2
Method: DFT, GGA-PBE
State: optimized geometry

```
Dy3Al2
1.0
8.230 0.000 0.000
0.000 8.230 0.000
0.000 0.000 7.597
Al Dy
8 12
Direct
0.881 0.881 0.194 Al
0.381 0.619 0.306 Al
0.619 0.381 0.694 Al
0.381 0.619 0.694 Al
0.619 0.381 0.306 Al
0.881 0.881 0.806 Al
0.119 0.119 0.194 Al
0.119 0.119 0.806 Al
0.650 0.650 0.000 Dy
0.298 0.298 0.500 Dy
0.500 0.000 0.250 Dy
0.000 0.500 0.750 Dy
0.150 0.850 0.500 Dy
0.850 0.150 0.500 Dy
0.500 0.000 0.750 Dy
0.000 0.500 0.250 Dy
0.702 0.702 0.500 Dy
0.350 0.350 0.000 Dy
0.798 0.202 0.000 Dy
0.202 0.798 0.000 Dy
```

## Properties
Energy of formation: -0.324 eV per atom
Density: 6.99 g/cm3
D(E_F): 24.893 states/eV per cell
Magnetization: 0.00 Bohr magnetons per cell